Density functional theory data (PBE) for a relaxed structure of HoThInOs.

```
4
Lattice="5.002 0.000 0.000 2.501 4.332 0.000 2.501 1.444 4.084" Properties=species:S:1:pos:R:3 pbc="T T T"
Ho 5.002 2.888 2.042
Th 2.501 1.444 1.021
In 7.503 4.332 3.063
Os 0.000 0.000 0.000
```

## Properties
Volume in A^3/atom: 22.123
Calculated total energy in eV/atom: -6.627
Formation enthalpy at 0 K in eV per formula unit: -0.54